The following is a DFT calculation (GGA-PBE) of an optimized crystal structure of BeSi.

Calculated values
Space-group type ... Pmmn (59)
Total magnetic moment ... 0.0 μB per cell
E_form (uncorrected) ... 0.39 eV/atom
Relative energy among the computed polymorphs ... 0.164 eV/atom

POSCAR file:
```
BeSi
1.0
2.734 0.000 0.000
0.000 4.607 0.000
0.000 0.000 3.806
Be Si
2 2
direct
0.250 0.250 0.129
0.750 0.750 0.871
0.250 0.750 0.370
0.750 0.250 0.630
```

---

The following is a DFT calculation (GGA-PBE) of an optimized crystal structure of Be3Si.

Calculated values
Space-group type ... Cm (8)
Total magnetic moment ... 0.0 μB per cell
E_form (uncorrected) ... 0.15 eV/atom
Relative energy among the computed polymorphs ... 0.000 eV/atom

POSCAR file:
```
Be3Si
1.0
3.535 -2.139 0.000
3.535 2.139 0.000
-1.738 0.000 3.083
Be Si
3 1
direct
0.000 0.000 0.000
0.076 0.575 0.331
0.575 0.076 0.331
0.490 0.490 0.992
```

---

The following is a DFT calculation (GGA-PBE) of an optimized crystal structure of BeSi.

Calculated values
Space-group type ... Pm-3n (223)
Total magnetic moment ... 0.0 μB per cell
E_form (uncorrected) ... 0.94 eV/atom
Relative energy among the computed polymorphs ... 0.710 eV/atom

POSCAR file:
```
BeSi
1.0
6.301 0.000 0.000
0.000 6.301 0.000
0.000 0.000 6.301
Be Si
6 6
direct
0.000 0.250 0.500
0.000 0.750 0.500
0.250 0.500 0.000
0.500 0.000 0.250
0.500 0.000 0.750
0.750 0.500 0.000
0.000 0.500 0.250
0.000 0.500 0.750
0.250 0.000 0.500
0.500 0.250 0.000
0.500 0.750 0.000
0.750 0.000 0.500
```

---

Q: The highest relative energy among the computed polymorphs belongs to which entry?
A: number 3